# SiHg2Mo

SiHg2Mo after structural relaxation (GGA-PBE, Alexandria via LeMat-Bulk).

Structure (extended XYZ):
```
4
Lattice="2.883 0.000 0.000 0.000 2.883 0.000 0.000 0.000 9.507" Properties=species:S:1:pos:R:3 pbc="T T T"
Si 0.000 0.000 0.000
Hg 0.000 0.000 5.514
Hg 1.442 1.442 2.654
Mo 1.442 1.442 7.767
```

The calculation puts the spin magnetization at 0.00 μB per cell. The space group is P4mm (99). For the uncorrected formation energy, the calculation gives 446 meV per atom. Its crystal system is tetragonal. The total DFT energy (no corrections) is -3.7682 eV/atom.